Pa2Ge4Au | PBE | relaxed

Properties
For the formation energy, the calculation gives 0.138 eV per atom. Its density of states at the Fermi level is 8.07 states/eV per cell. The space-group type is I4/mmm, No. 139. Its crystal system is tetragonal.

Lattice parameters (Å, degrees): 7.974 7.974 7.974 144.57 144.57 50.97
Element x y z (fractional)
Pa (0.127, 0.127, 0.000)
Pa (0.873, 0.873, 0.000)
Ge (0.000, 0.500, 0.500)
Ge (0.322, 0.322, 0.000)
Ge (0.500, 0.000, 0.500)
Ge (0.678, 0.678, 0.000)
Au (0.500, 0.500, 0.000)

=====

Pa2Ge2Au | PBE | relaxed

Properties
For the formation energy, the calculation gives -0.414 eV per atom. Its density of states at the Fermi level is 14.47 states/eV per cell. The space-group type is C2/m, No. 12. Its crystal system is monoclinic.

Lattice parameters (Å, degrees): 5.844 5.844 10.165 112.92 112.92 43.46
Element x y z (fractional)
Pa (0.005, 0.005, 0.324)
Pa (0.184, 0.184, 0.100)
Pa (0.816, 0.816, 0.900)
Pa (0.995, 0.995, 0.676)
Ge (0.367, 0.367, 0.434)
Ge (0.459, 0.459, 0.106)
Ge (0.541, 0.541, 0.894)
Ge (0.633, 0.633, 0.566)
Au (0.285, 0.285, 0.660)
Au (0.715, 0.715, 0.340)

=====

Pa2Ge2Au | PBE | relaxed

Properties
For the formation energy, the calculation gives -0.326 eV per atom. Its density of states at the Fermi level is 8.93 states/eV per cell. The space-group type is P2_1/m, No. 11. Its crystal system is monoclinic.

Lattice parameters (Å, degrees): 5.885 4.195 10.196 90.00 105.90 90.00
Element x y z (fractional)
Pa (0.080, 0.250, 0.187)
Pa (0.291, 0.250, 0.604)
Pa (0.709, 0.750, 0.396)
Pa (0.920, 0.750, 0.813)
Ge (0.212, 0.750, 0.395)
Ge (0.427, 0.750, 0.808)
Ge (0.573, 0.250, 0.192)
Ge (0.788, 0.250, 0.605)
Au (0.271, 0.250, 0.938)
Au (0.729, 0.750, 0.062)

=====

Pa2Ge2Au3 | PBE | relaxed

Properties
For the formation energy, the calculation gives -0.330 eV per atom. Its density of states at the Fermi level is 7.39 states/eV per cell. The space-group type is P2/m, No. 10. Its crystal system is monoclinic.

Lattice parameters (Å, degrees): 4.681 3.125 10.164 90.00 98.48 90.00
Element x y z (fractional)
Pa (0.179, 0.000, 0.287)
Pa (0.821, 0.000, 0.713)
Ge (0.386, 0.500, 0.840)
Ge (0.614, 0.500, 0.160)
Au (0.000, 0.500, 0.000)
Au (0.272, 0.500, 0.571)
Au (0.728, 0.500, 0.429)